! NbPtSeBr2 (meta-GGA SCAN, PBEsol geometry); values from VASP
! **ΔE_f (raw)**: 523 meV per atom
! **DFT total energy**: -159.7 eV per cell
&SYSTEM
  ibrav = 0, nat = 5, ntyp = 4
/
ATOMIC_SPECIES
Nb 92.91 Nb.upf
Se 78.96 Se.upf
Br 79.90 Br.upf
Pt 195.08 Pt.upf
CELL_PARAMETERS angstrom
5.003 0.000 0.000
0.000 4.934 0.000
0.000 0.000 4.934
ATOMIC_POSITIONS crystal
Nb 0.500 0.500 0.500
Se 0.500 0.000 0.000
Br 0.000 0.000 0.500
Br 0.000 0.500 0.000
Pt 0.000 0.000 0.000